No. 1
The following is a DFT calculation (PBE) of an optimized crystal structure of PmYHg.

Distance to the lowest polymorph of the same formula (meV per atom): 0

Cell: 7.050 5.250 9.412 Å, 90.00 90.00 90.00°
Fractional coordinates of all 12 atoms:
Pm: 0.178 0.250 0.077
Pm: 0.322 0.750 0.577
Pm: 0.678 0.250 0.423
Pm: 0.822 0.750 0.923
Y: 0.014 0.250 0.698
Y: 0.486 0.750 0.198
Y: 0.514 0.250 0.802
Y: 0.986 0.750 0.302
Hg: 0.230 0.250 0.402
Hg: 0.270 0.750 0.902
Hg: 0.730 0.250 0.098
Hg: 0.770 0.750 0.598


No. 2
The following is a DFT calculation (PBE) of an optimized crystal structure of PmYHg4.

Distance to the lowest polymorph of the same formula (meV per atom): 153

Cell: 5.983 5.983 5.983 Å, 60.00 60.00 60.00°
Fractional coordinates of all 6 atoms:
Pm: 0.000 0.000 0.000
Y: 0.750 0.750 0.750
Hg: 0.375 0.375 0.375
Hg: 0.375 0.375 0.875
Hg: 0.375 0.875 0.375
Hg: 0.875 0.375 0.375


No. 3
The following is a DFT calculation (PBE) of an optimized crystal structure of PmYHg.

Distance to the lowest polymorph of the same formula (meV per atom): 67

Cell: 8.918 8.918 3.800 Å, 90.00 90.00 120.00°
Fractional coordinates of all 9 atoms:
Pm: 0.000 0.608 0.000
Pm: 0.392 0.392 0.000
Pm: 0.608 0.000 0.000
Y: 0.000 0.274 0.500
Y: 0.274 0.000 0.500
Y: 0.726 0.726 0.500
Hg: 0.000 0.000 0.000
Hg: 0.333 0.667 0.500
Hg: 0.667 0.333 0.500


No. 4
The following is a DFT calculation (PBE) of an optimized crystal structure of Pm2Y3Hg3.

Cell: 3.771 5.316 22.432 Å, 90.00 90.00 90.00°
Fractional coordinates of all 16 atoms:
Pm: 0.000 0.000 0.231
Pm: 0.000 0.000 0.769
Pm: 0.500 0.500 0.269
Pm: 0.500 0.500 0.731
Y: 0.000 0.000 0.000
Y: 0.000 0.500 0.119
Y: 0.000 0.500 0.881
Y: 0.500 0.000 0.381
Y: 0.500 0.000 0.619
Y: 0.500 0.500 0.500
Hg: 0.000 0.000 0.500
Hg: 0.000 0.500 0.385
Hg: 0.000 0.500 0.615
Hg: 0.500 0.000 0.115
Hg: 0.500 0.000 0.885
Hg: 0.500 0.500 0.000


No. 5
The following is a DFT calculation (PBE) of an optimized crystal structure of PmY4Hg2.

Cell: 10.654 10.654 10.654 Å, 27.54 27.54 27.54°
Fractional coordinates of all 7 atoms:
Pm: 0.000 0.000 0.000
Y: 0.203 0.203 0.203
Y: 0.394 0.394 0.394
Y: 0.606 0.606 0.606
Y: 0.797 0.797 0.797
Hg: 0.102 0.102 0.102
Hg: 0.898 0.898 0.898


No. 6
The following is a DFT calculation (PBE) of an optimized crystal structure of Pm7YHg2.

Cell: 9.170 9.170 5.345 Å, 90.00 90.00 119.99°
Fractional coordinates of all 10 atoms:
Pm: 0.000 0.000 0.000
Pm: 0.198 0.437 0.000
Pm: 0.270 0.730 0.500
Pm: 0.437 0.198 0.000
Pm: 0.563 0.802 0.000
Pm: 0.730 0.270 0.500
Pm: 0.802 0.563 0.000
Y: 0.500 0.500 0.500
Hg: 0.194 0.806 0.000
Hg: 0.806 0.194 0.000


Number 1: total magnetic moment 0.00 μB per formula unit, formation energy from the elements -0.3600 eV/atom. Number 2: total magnetic moment 0.00 μB per formula unit, formation energy from the elements -0.2398 eV/atom. Number 3: total magnetic moment 0.00 μB per formula unit, formation energy from the elements -0.2926 eV/atom. Number 4: total magnetic moment 0.00 μB per formula unit, formation energy from the elements -0.3720 eV/atom. Number 5: total magnetic moment 0.15 μB per formula unit, formation energy from the elements 0.0040 eV/atom. Number 6: total magnetic moment 0.00 μB per formula unit, formation energy from the elements 0.2642 eV/atom.